# CaDyEr2

CaDyEr2 after structural relaxation (PBE-GGA, the Alexandria database).

Cell lengths 3.5660, 3.5660, 35.8563 Å; angles 90.00, 90.00, 120.00 degrees
Space group R3m (No. 160, hexagonal axes)
One atom of each set of equivalent atoms:
Ca (0.0000, 0.0000, 0.0000)
Dy (0.0000, 0.0000, 0.1657)
Er (0.0000, 0.0000, 0.5777)
Er (0.0000, 0.0000, 0.7544)

Energy of formation   0.069 eV per atom
Relative energy among the computed polymorphs   0 meV per atom
Fermi-level density of states   16.60 states/eV per cell

***

# CaDy4Er

CaDy4Er after structural relaxation (PBE-GGA, the Alexandria database).

Cell lengths 9.363, 9.363, 9.363 Å; angles 90.00, 90.00, 90.00 degrees
Space group F-43m (No. 216)
One atom of each set of equivalent atoms:
Ca (0.000, 0.000, 0.000)
Dy (0.123, 0.123, 0.623)
Er (0.250, 0.250, 0.250)

Energy of formation   0.220 eV per atom
Relative energy among the computed polymorphs   158 meV per atom
Fermi-level density of states   34.14 states/eV per cell

***

# CaDyEr4

CaDyEr4 after structural relaxation (PBE-GGA, the Alexandria database).

Cell lengths 9.322, 9.322, 9.322 Å; angles 90.00, 90.00, 90.00 degrees
Space group F-43m (No. 216)
One atom of each set of equivalent atoms:
Ca (0.000, 0.000, 0.000)
Dy (0.250, 0.250, 0.750)
Er (0.124, 0.124, 0.376)

Energy of formation   0.223 eV per atom
Fermi-level density of states   33.54 states/eV per cell

***

# Ca2DyEr

Ca2DyEr after structural relaxation (PBE-GGA, the Alexandria database).

Cell lengths 4.117, 4.117, 8.247 Å; angles 90.00, 90.00, 90.00 degrees
Space group P4/mmm (No. 123)
One atom of each set of equivalent atoms:
Ca (0.000, 0.000, 0.248)
Dy (0.500, 0.500, 0.500)
Er (0.500, 0.500, 0.000)

Energy of formation   0.201 eV per atom
Relative energy among the computed polymorphs   8 meV per atom
Fermi-level density of states   6.81 states/eV per cell

***

# CaDy4Er

CaDy4Er after structural relaxation (PBE-GGA, the Alexandria database).

Cell lengths 17.362, 3.610, 6.291 Å; angles 90.00, 96.90, 90.00 degrees
Space group C2/m (No. 12)
One atom of each set of equivalent atoms:
Ca (0.000, 0.000, 0.000)
Dy (0.168, 0.000, 0.393)
Dy (0.172, 0.500, 0.886)
Er (0.000, 0.500, 0.500)

Energy of formation   0.062 eV per atom
Relative energy among the computed polymorphs   0 meV per atom
Fermi-level density of states   18.44 states/eV per cell

***

# Ca2DyEr

Ca2DyEr after structural relaxation (PBE-GGA, the Alexandria database).

Cell lengths 8.232, 8.232, 8.232 Å; angles 90.00, 90.00, 90.00 degrees
Space group Fm-3m (No. 225)
One atom of each set of equivalent atoms:
Ca (0.250, 0.250, 0.250)
Dy (0.000, 0.000, 0.000)
Er (0.000, 0.000, 0.500)

Energy of formation   0.199 eV per atom
Relative energy among the computed polymorphs   6 meV per atom
Fermi-level density of states   26.61 states/eV per cell